# 1
Density functional theory data (PBE) for an optimized crystal structure of NdPuCdPb.

abc: 5.472 5.472 5.472
angles: 60.00 60.00 60.00
Fractional positions:
Nd1 0.000 0.000 0.000
Pu1 0.500 0.500 0.500
Cd1 0.250 0.250 0.250
Pb1 0.750 0.750 0.750

## Properties
Energy relative to the elements: -0.225 eV/atom
Symmetry: No. 216
DOS at the Fermi energy: 10.90 states/eV per cell
E_tot: -6.156 eV per atom


# 2
Density functional theory data (PBE) for an optimized crystal structure of PuMg4Tl.

abc: 6.023 6.023 6.023
angles: 60.00 60.00 60.00
Fractional positions:
Pu1 0.000 0.000 0.000
Mg1 0.124 0.625 0.625
Mg2 0.625 0.124 0.625
Mg3 0.625 0.625 0.124
Mg4 0.625 0.625 0.625
Tl1 0.250 0.250 0.250

## Properties
Energy relative to the elements: 0.140 eV/atom
Symmetry: No. 216
DOS at the Fermi energy: 16.88 states/eV per cell
E_tot: -3.707 eV per atom


What is the formula in the first record? NdPuCdPb


Repeat the second record exactly.
Density functional theory data (PBE) for an optimized crystal structure of PuMg4Tl.

abc: 6.023 6.023 6.023
angles: 60.00 60.00 60.00
Fractional positions:
Pu1 0.000 0.000 0.000
Mg1 0.124 0.625 0.625
Mg2 0.625 0.124 0.625
Mg3 0.625 0.625 0.124
Mg4 0.625 0.625 0.625
Tl1 0.250 0.250 0.250

## Properties
Energy relative to the elements: 0.140 eV/atom
Symmetry: No. 216
DOS at the Fermi energy: 16.88 states/eV per cell
E_tot: -3.707 eV per atom


energy relative to the elements of number 1 (NdPuCdPb)? -0.225 eV/atom